No. 1
# HfSc3Ir3

An optimized crystal structure of HfSc3Ir3 (GGA-PBE, the Alexandria database).

Total DFT energy (no corrections) = -244.71 eV/cell
Magnetic moment = 0.000 μB/atom

Geometry as CIF:
```
data_HfSc3Ir3
_chemical_formula_sum 'Hf4 Sc12 Ir12'
_cell_length_a 9.269
_cell_length_b 9.443
_cell_length_c 6.160
_cell_angle_alpha 90.00
_cell_angle_beta 90.00
_cell_angle_gamma 90.00
_space_group_name_H-M_alt 'C m m m'
_space_group_IT_number 65
_space_group_name_Hall '-C 2 2'
loop_
_atom_site_label
_atom_site_type_symbol
_atom_site_fract_x
_atom_site_fract_y
_atom_site_fract_z
Hf1 Hf 0.000 0.240 0.000
Sc1 Sc 0.000 0.252 0.500
Sc2 Sc 0.240 0.500 0.000
Sc3 Sc 0.249 0.000 0.500
Ir1 Ir 0.000 0.000 0.248
Ir2 Ir 0.250 0.250 0.249
```

No. 2
# ErTmSnIr

An optimized crystal structure of ErTmSnIr (GGA-PBE, the Alexandria database).

Total DFT energy (no corrections) = -97.73 eV/cell
Magnetic moment = 0.000 μB/atom

Geometry as CIF:
```
data_ErTmSnIr
_chemical_formula_sum 'Er4 Tm4 Sn4 Ir4'
_cell_length_a 7.114
_cell_length_b 7.114
_cell_length_c 7.114
_cell_angle_alpha 90.00
_cell_angle_beta 90.00
_cell_angle_gamma 90.00
_space_group_name_H-M_alt 'F -4 3 m'
_space_group_IT_number 216
_space_group_name_Hall 'F -4 2 3'
loop_
_atom_site_label
_atom_site_type_symbol
_atom_site_fract_x
_atom_site_fract_y
_atom_site_fract_z
Er1 Er 0.000 0.000 0.000
Tm1 Tm 0.000 0.000 0.500
Sn1 Sn 0.250 0.250 0.250
Ir1 Ir 0.250 0.250 0.750
```

No. 3
# NdHo3Sc4

An optimized crystal structure of NdHo3Sc4 (GGA-PBE, the Alexandria database).

Total DFT energy (no corrections) = -87.10 eV/cell
Magnetic moment = 0.000 μB/atom

Geometry as CIF:
```
data_NdHo3Sc4
_chemical_formula_sum 'Nd2 Ho6 Sc8'
_cell_length_a 10.820
_cell_length_b 6.977
_cell_length_c 6.004
_cell_angle_alpha 90.00
_cell_angle_beta 90.00
_cell_angle_gamma 90.00
_space_group_name_H-M_alt 'P m n 21'
_space_group_IT_number 31
_space_group_name_Hall 'P 2ac -2'
loop_
_atom_site_label
_atom_site_type_symbol
_atom_site_fract_x
_atom_site_fract_y
_atom_site_fract_z
Nd1 Nd 0.000 0.134 0.000
Ho1 Ho 0.000 0.866 0.498
Ho2 Ho 0.249 0.865 0.844
Sc1 Sc 0.000 0.386 0.508
Sc2 Sc 0.000 0.616 0.008
Sc3 Sc 0.248 0.616 0.336
```